A relaxed structure of LaAlSb3. Source: the Alexandria database, functional PBE-GGA.

```
LaAlSb3
1.0
5.312 0.000 0.000
0.000 5.312 0.000
0.000 0.000 5.312
La Al Sb
1 1 3
Direct
0.000 0.000 0.000
0.500 0.500 0.500
0.000 0.500 0.500
0.500 0.000 0.500
0.500 0.500 0.000
```



A relaxed structure of Pm5NdDy3. Source: the Alexandria database, functional PBE-GGA.

```
Pm5NdDy3
1.0
8.236 -3.398 0.000
8.236 3.398 0.000
-3.961 0.000 10.924
Pm Nd Dy
10 2 6
Direct
0.107 0.114 0.551
0.114 0.107 0.051
0.185 0.815 0.750
0.234 0.422 0.650
0.422 0.234 0.150
0.578 0.766 0.850
0.766 0.578 0.350
0.815 0.185 0.250
0.886 0.893 0.949
0.893 0.886 0.449
0.260 0.740 0.250
0.740 0.260 0.750
0.138 0.342 0.871
0.342 0.138 0.371
0.500 0.500 0.000
0.500 0.500 0.500
0.658 0.862 0.629
0.862 0.658 0.129
```



A relaxed structure of ThVSi2Ru. Source: the Alexandria database, functional PBE-GGA.

```
ThVSi2Ru
1.0
4.135 0.000 0.000
0.000 4.135 0.000
0.000 0.000 10.325
Th V Si Ru
2 2 4 2
Direct
0.000 0.000 0.000
0.500 0.500 0.500
0.000 0.500 0.250
0.500 0.000 0.750
0.000 0.000 0.379
0.000 0.000 0.621
0.500 0.500 0.121
0.500 0.500 0.879
0.000 0.500 0.750
0.500 0.000 0.250
```



A relaxed structure of SrLiGe2. Source: the Alexandria database, functional PBE-GGA.

```
SrLiGe2
1.0
4.922 0.000 0.000
0.000 4.922 0.000
0.000 0.000 17.534
Sr Li Ge
4 4 8
Direct
0.000 0.000 0.000
0.000 0.500 0.250
0.500 0.000 0.750
0.500 0.500 0.500
0.000 0.000 0.500
0.000 0.500 0.750
0.500 0.000 0.250
0.500 0.500 0.000
0.058 0.250 0.625
0.250 0.558 0.875
0.250 0.942 0.375
0.442 0.250 0.125
0.558 0.750 0.125
0.750 0.058 0.375
0.750 0.442 0.875
0.942 0.750 0.625
```



A relaxed structure of Tl2HgSb. Source: the Alexandria database, functional PBE-GGA.

```
Tl2HgSb
1.0
4.586 0.000 0.000
0.000 4.955 0.000
0.000 0.000 10.771
Tl Hg Sb
4 2 2
Direct
0.000 0.000 0.237
0.000 0.000 0.763
0.500 0.500 0.237
0.500 0.500 0.763
0.000 0.500 0.500
0.500 0.000 0.500
0.000 0.500 0.000
0.500 0.000 0.000
```



A relaxed structure of NbTe2Rh. Source: the Alexandria database, functional PBE-GGA.

```
NbTe2Rh
1.0
6.817 0.000 0.000
0.000 6.817 0.000
0.000 0.000 6.817
Nb Te Rh
4 8 4
Direct
0.000 0.000 0.000
0.000 0.500 0.500
0.500 0.000 0.500
0.500 0.500 0.000
0.250 0.250 0.250
0.250 0.250 0.750
0.250 0.750 0.250
0.250 0.750 0.750
0.750 0.250 0.250
0.750 0.250 0.750
0.750 0.750 0.250
0.750 0.750 0.750
0.000 0.000 0.500
0.000 0.500 0.000
0.500 0.000 0.000
0.500 0.500 0.500
```



A relaxed structure of ReNi2As. Source: the Alexandria database, functional PBE-GGA.

```
ReNi2As
1.0
3.672 0.000 0.000
0.000 3.672 0.000
0.000 0.000 3.816
Re Ni As
1 2 1
Direct
0.000 0.000 0.000
0.000 0.500 0.500
0.500 0.000 0.500
0.500 0.500 0.000
```



A relaxed structure of BaTeBr2. Source: the Alexandria database, functional PBE-GGA.

```
BaTeBr2
1.0
7.585 0.000 0.000
0.000 10.265 0.000
-3.783 0.000 3.891
Ba Te Br
2 2 4
Direct
0.000 0.000 0.000
0.500 0.500 0.000
0.000 0.500 0.000
0.500 0.000 0.000
0.250 0.250 0.500
0.250 0.750 0.500
0.750 0.250 0.500
0.750 0.750 0.500
```



A relaxed structure of HfBe5Cu. Source: the Alexandria database, functional PBE-GGA.

```
HfBe5Cu
1.0
7.363 0.000 0.000
0.000 4.301 0.000
0.000 0.000 9.109
Hf Be Cu
4 20 4
Direct
0.236 0.250 0.061
0.264 0.750 0.561
0.736 0.250 0.439
0.764 0.750 0.939
0.043 0.750 0.110
0.063 0.004 0.314
0.063 0.496 0.314
0.073 0.250 0.518
0.198 0.250 0.743
0.302 0.750 0.243
0.427 0.750 0.018
0.437 0.504 0.814
0.437 0.996 0.814
0.457 0.250 0.610
0.543 0.750 0.390
0.563 0.004 0.186
0.563 0.496 0.186
0.573 0.250 0.982
0.698 0.250 0.757
0.802 0.750 0.257
0.927 0.750 0.482
0.937 0.504 0.686
0.937 0.996 0.686
0.957 0.250 0.890
0.142 0.750 0.860
0.358 0.250 0.360
0.642 0.750 0.640
0.858 0.250 0.140
```



A relaxed structure of NpPa6. Source: the Alexandria database, functional PBE-GGA.

```
NpPa6
1.0
7.647 0.000 0.000
0.000 7.647 0.000
0.000 0.000 7.647
Np Pa
2 12
Direct
0.000 0.000 0.000
0.500 0.500 0.500
0.000 0.250 0.500
0.000 0.500 0.250
0.000 0.500 0.750
0.000 0.750 0.500
0.250 0.000 0.500
0.250 0.500 0.000
0.500 0.000 0.250
0.500 0.000 0.750
0.500 0.250 0.000
0.500 0.750 0.000
0.750 0.000 0.500
0.750 0.500 0.000
```



A relaxed structure of MgRe7. Source: the Alexandria database, functional PBE-GGA.

```
MgRe7
1.0
0.000 3.932 3.932
3.932 0.000 3.932
3.932 3.932 0.000
Mg Re
1 7
Direct
0.000 0.000 0.000
0.000 0.000 0.500
0.000 0.500 0.000
0.000 0.500 0.500
0.500 0.000 0.000
0.500 0.000 0.500
0.500 0.500 0.000
0.500 0.500 0.500
```



A relaxed structure of Zr12Fe6Sb. Source: the Alexandria database, functional PBE-GGA.

```
Zr12Fe6Sb
1.0
-4.518 4.518 4.518
4.518 -4.518 4.518
4.518 4.518 -4.518
Zr Fe Sb
12 6 1
Direct
0.099 0.804 0.295
0.196 0.295 0.490
0.196 0.705 0.901
0.295 0.099 0.804
0.295 0.490 0.196
0.490 0.196 0.295
0.510 0.804 0.705
0.705 0.510 0.804
0.705 0.901 0.196
0.804 0.295 0.099
0.804 0.705 0.510
0.901 0.196 0.705
0.123 0.623 0.500
0.377 0.500 0.877
0.500 0.123 0.623
0.500 0.877 0.377
0.623 0.500 0.123
0.877 0.377 0.500
0.000 0.000 0.000
```



A relaxed structure of Eu2HoGa. Source: the Alexandria database, functional PBE-GGA.

```
Eu2HoGa
1.0
3.716 0.000 0.000
0.000 3.716 0.000
0.000 0.000 9.028
Eu Ho Ga
2 1 1
Direct
0.000 0.000 0.204
0.000 0.000 0.796
0.500 0.500 0.500
0.500 0.500 0.000
```



A relaxed structure of KSiSe. Source: the Alexandria database, functional PBE-GGA.

```
KSiSe
1.0
4.596 0.000 0.000
-2.298 3.980 0.000
0.000 0.000 4.869
K Si Se
1 1 1
Direct
0.000 0.000 0.000
0.333 0.667 0.500
0.667 0.333 0.500
```



A relaxed structure of Tb3Nd4Pu. Source: the Alexandria database, functional PBE-GGA.

```
Tb3Nd4Pu
1.0
3.491 0.000 0.000
0.000 11.686 0.000
0.000 0.000 13.026
Tb Nd Pu
6 8 2
Direct
0.000 0.000 0.000
0.000 0.500 0.233
0.000 0.500 0.767
0.500 0.000 0.267
0.500 0.000 0.733
0.500 0.500 0.500
0.000 0.249 0.369
0.000 0.249 0.631
0.000 0.751 0.369
0.000 0.751 0.631
0.500 0.251 0.131
0.500 0.251 0.869
0.500 0.749 0.131
0.500 0.749 0.869
0.000 0.000 0.500
0.500 0.500 0.000
```



A relaxed structure of Pm8Tl2Cd. Source: the Alexandria database, functional PBE-GGA.

```
Pm8Tl2Cd
1.0
8.363 -2.754 0.000
8.363 2.754 0.000
-4.590 0.000 7.538
Pm Tl Cd
8 2 1
Direct
0.068 0.068 0.220
0.135 0.135 0.682
0.321 0.321 0.556
0.410 0.410 0.055
0.590 0.590 0.945
0.679 0.679 0.444
0.865 0.865 0.318
0.932 0.932 0.780
0.228 0.228 0.124
0.772 0.772 0.876
0.500 0.500 0.500
```



A relaxed structure of ZrCdH. Source: the Alexandria database, functional PBE-GGA.

```
ZrCdH
1.0
11.457 0.000 0.000
0.000 3.341 0.000
-2.116 0.000 4.898
Zr Cd H
4 4 4
Direct
0.110 0.000 0.379
0.390 0.500 0.621
0.610 0.500 0.379
0.890 0.000 0.621
0.132 0.500 0.886
0.368 0.000 0.114
0.632 0.000 0.886
0.868 0.500 0.114
0.202 0.500 0.367
0.298 0.000 0.633
0.702 0.000 0.367
0.798 0.500 0.633
```



A relaxed structure of LaCr3H. Source: the Alexandria database, functional PBE-GGA.

```
LaCr3H
1.0
4.206 0.000 0.000
0.000 4.206 0.000
0.000 0.000 4.206
La Cr H
1 3 1
Direct
0.000 0.000 0.000
0.000 0.500 0.500
0.500 0.000 0.500
0.500 0.500 0.000
0.500 0.500 0.500
```



A relaxed structure of TcGeTeN2. Source: the Alexandria database, functional PBE-GGA.

```
TcGeTeN2
1.0
3.745 0.000 0.000
0.000 3.745 0.000
0.000 0.000 6.910
Tc Ge Te N
1 1 1 2
Direct
0.000 0.000 0.000
0.500 0.500 0.500
0.500 0.500 0.000
0.000 0.500 0.500
0.500 0.000 0.500
```



A relaxed structure of NaMgHgPb. Source: the Alexandria database, functional PBE-GGA.

```
NaMgHgPb
1.0
7.367 0.000 0.000
0.000 7.367 0.000
0.000 0.000 7.367
Na Mg Hg Pb
4 4 4 4
Direct
0.000 0.000 0.000
0.000 0.500 0.500
0.500 0.000 0.500
0.500 0.500 0.000
0.000 0.000 0.500
0.000 0.500 0.000
0.500 0.000 0.000
0.500 0.500 0.500
0.250 0.250 0.250
0.250 0.750 0.750
0.750 0.250 0.750
0.750 0.750 0.250
0.250 0.250 0.750
0.250 0.750 0.250
0.750 0.250 0.250
0.750 0.750 0.750
```



| no. | energy (eV per atom) | spin magnetization (μB per atom) |
| --- | --- | --- |
| 1 | -4.308 | 0.000 |
| 2 | -4.534 | 0.000 |
| 3 | -8.044 | 0.311 |
| 4 | -3.450 | 0.000 |
| 5 | -2.298 | 0.000 |
| 6 | -5.926 | 0.000 |
| 7 | -6.971 | 0.065 |
| 8 | -3.304 | 0.000 |
| 9 | -4.863 | 0.000 |
| 10 | -8.353 | 1.554 |
| 11 | -10.787 | 0.000 |
| 12 | -8.420 | 0.238 |
| 13 | -7.189 | 3.785 |
| 14 | -3.492 | 0.000 |
| 15 | -5.760 | 0.806 |
| 16 | -4.149 | 0.000 |
| 17 | -4.514 | 0.000 |
| 18 | -6.777 | 1.759 |
| 19 | -5.377 | 0.616 |
| 20 | -1.868 | 0.000 |